An optimized crystal structure of Li3ReO, computed with PBE.

Energy relative to the lowest polymorph listed for this composition, meV per atom: 1441
Volume, Å³/atom: 24.21
Size of the total moment, μB per cell: 4.00
Formation energy (no corrections), eV per atom: 1.51

Cell: 4.947 4.947 4.947 Å, 90.00 90.00 90.00°
Space group Pm-3m (No. 221)
Symmetry-distinct sites (fractional):
1 Li 0.000 0.000 0.500 [3 per cell]
2 Re 0.000 0.000 0.000 [1 per cell]
3 O 0.500 0.500 0.500 [1 per cell]